No. 1
{
  "formula": "Ca3YNi8",
  "functional": "PBE-GGA",
  "state": "optimized geometry",
  "cell": [[-4.1126, 2.8175, -1.0243], [-4.4254, -1.0296, 2.2928], [-0.8475, 5.7584, 6.5986]],
  "species": ["Ni", "Ni", "Ni", "Ni", "Ni", "Ni", "Ni", "Ni", "Ca", "Ca", "Ca", "Y"],
  "fractional_positions": [[0.9373, 0.9373, 0.6839], [0.4415, 0.9373, 0.6839], [0.6876, 0.6876, 0.9373], [0.1876, 0.1876, 0.4372], [0.4377, 0.4377, 0.1911], [0.9335, 0.4377, 0.1911], [0.4377, 0.9335, 0.1911], [0.9373, 0.4415, 0.6839], [0.4978, 0.4978, 0.5067], [0.0022, 0.0022, 0.9935], [0.3741, 0.3741, 0.8777], [0.8758, 0.8758, 0.3727]],
  "spacegroup": "No. 160",
  "formation_energy_ev_per_fu": -2.966,
  "energy_ev_per_atom": -5.1405
}

No. 2
{
  "formula": "CaY3Ni",
  "functional": "PBE-GGA",
  "state": "optimized geometry",
  "cell": [[-2.9479, -3.7118, -2.5840], [-1.7775, -1.8853, 4.7361], [-4.1587, 3.4370, -0.1926]],
  "species": ["Y", "Y", "Y", "Ca", "Ni"],
  "fractional_positions": [[0.0000, 0.5000, 0.0000], [0.5000, 0.0000, 0.0000], [0.0000, 0.0000, 0.5000], [0.5000, 0.5000, 0.5000], [0.0000, 0.0000, 0.0000]],
  "spacegroup": "No. 221",
  "formation_energy_ev_per_fu": -0.331,
  "energy_ev_per_atom": -5.5012
}

No. 3
{
  "formula": "CaYNi2",
  "functional": "PBE-GGA",
  "state": "optimized geometry",
  "cell": [[7.3436, 0.0000, 0.0000], [0.0000, 7.3436, 0.0000], [3.6718, 3.6718, 3.0901]],
  "species": ["Ni", "Ni", "Ni", "Ni", "Y", "Y", "Ca", "Ca"],
  "fractional_positions": [[0.6328, 0.1250, 0.2500], [0.8750, 0.8828, 0.7500], [0.3750, 0.3672, 0.7500], [0.1172, 0.6250, 0.2500], [0.0000, 0.0000, 0.0000], [0.7500, 0.2500, 0.5000], [0.2500, 0.7500, 0.5000], [0.5000, 0.5000, 0.0000]],
  "spacegroup": "No. 122",
  "formation_energy_ev_per_fu": 0.598,
  "energy_ev_per_atom": -4.8576
}

No. 4
{
  "formula": "CaYNi2",
  "functional": "PBE-GGA",
  "state": "optimized geometry",
  "cell": [[-5.4196, -2.3591, 4.3920], [-4.3948, -5.5064, 2.1428], [-2.2096, -4.5463, 5.3550]],
  "species": ["Ni", "Ni", "Y", "Ca"],
  "fractional_positions": [[0.9543, 0.9543, 0.9543], [0.2886, 0.2886, 0.2886], [0.5419, 0.5419, 0.5419], [0.7152, 0.7152, 0.7152]],
  "spacegroup": "No. 160",
  "formation_energy_ev_per_fu": -0.977,
  "energy_ev_per_atom": -5.2514
}

No. 5
{
  "formula": "Ca3YNi",
  "functional": "PBE-GGA",
  "state": "optimized geometry",
  "cell": [[-0.6005, 5.4192, -0.5505], [-2.6588, 0.1918, 4.7881], [4.7542, 0.7918, 2.6082]],
  "species": ["Y", "Ca", "Ca", "Ca", "Ni"],
  "fractional_positions": [[0.5000, 0.5000, 0.5000], [0.5000, 0.0000, 0.0000], [0.0000, 0.0000, 0.5000], [0.0000, 0.5000, 0.0000], [0.0000, 0.0000, 0.0000]],
  "spacegroup": "No. 221",
  "formation_energy_ev_per_fu": 0.561,
  "energy_ev_per_atom": -3.5378
}

No. 6
{
  "formula": "CaYNi2",
  "functional": "PBE-GGA",
  "state": "optimized geometry",
  "cell": [[-0.9943, 2.4319, -2.1568], [0.9704, -1.9573, -2.6542], [-5.2767, -4.7366, -2.9082]],
  "species": ["Ni", "Ni", "Ca", "Y"],
  "fractional_positions": [[0.0000, 0.9709, 0.0299], [0.0000, 0.5291, 0.4701], [0.5000, 0.7500, 0.7500], [0.5000, 0.2500, 0.2500]],
  "spacegroup": "No. 10",
  "formation_energy_ev_per_fu": -0.859,
  "energy_ev_per_atom": -5.2218
}

No. 7
{
  "formula": "CaY3Ni",
  "functional": "PBE-GGA",
  "state": "optimized geometry",
  "cell": [[-3.5524, -3.7133, 1.7175], [1.8316, 0.5905, 5.0650], [-3.6583, 3.9014, 0.8681]],
  "species": ["Y", "Y", "Y", "Ni", "Ca"],
  "fractional_positions": [[0.0000, 0.5000, 0.0000], [0.5000, 0.0000, 0.0000], [0.0000, 0.0000, 0.5000], [0.5000, 0.5000, 0.5000], [0.0000, 0.0000, 0.0000]],
  "spacegroup": "No. 221",
  "formation_energy_ev_per_fu": 7.137,
  "energy_ev_per_atom": -4.0076
}

No. 8
{
  "formula": "CaYNi2",
  "functional": "PBE-GGA",
  "state": "optimized geometry",
  "cell": [[-4.4683, -1.0667, -0.9619], [-1.3289, -0.7579, -4.4372], [-1.1280, -4.3341, -1.4042]],
  "species": ["Ni", "Ni", "Ca", "Y"],
  "fractional_positions": [[0.2500, 0.2500, 0.2500], [0.0000, 0.0000, 0.0000], [0.5000, 0.5000, 0.5000], [0.7500, 0.7500, 0.7500]],
  "spacegroup": "No. 216",
  "formation_energy_ev_per_fu": 0.748,
  "energy_ev_per_atom": -4.8200
}

No. 9
{
  "formula": "CaYNi2",
  "functional": "PBE-GGA",
  "state": "optimized geometry",
  "cell": [[-0.4283, -1.4547, 3.6541], [3.1219, -1.1678, 2.1312], [1.4316, 5.3290, 4.3414]],
  "species": ["Y", "Ni", "Ni", "Ca"],
  "fractional_positions": [[0.7500, 0.7500, 0.7500], [0.4949, 0.4949, 0.5177], [0.0051, 0.0051, 0.9823], [0.2500, 0.2500, 0.2500]],
  "spacegroup": "No. 12",
  "formation_energy_ev_per_fu": 0.087,
  "energy_ev_per_atom": -4.9853
}

No. 10
{
  "formula": "Ca2YNi9",
  "functional": "PBE-GGA",
  "state": "optimized geometry",
  "cell": [[4.9763, 0.0000, 0.0000], [2.4882, 4.3096, 0.0000], [2.4882, 1.4365, 8.1391]],
  "species": ["Ni", "Ni", "Ni", "Ni", "Ni", "Ni", "Ni", "Ni", "Ni", "Ca", "Ca", "Y"],
  "fractional_positions": [[0.5796, 0.5796, 0.7586], [0.5000, 0.5000, 0.5000], [0.9178, 0.4204, 0.2414], [0.4204, 0.4204, 0.2414], [0.4204, 0.9178, 0.2414], [0.3326, 0.3326, 0.0022], [0.5796, 0.0822, 0.7586], [0.0822, 0.5796, 0.7586], [0.6674, 0.6674, 0.9978], [0.8588, 0.8588, 0.4237], [0.1412, 0.1412, 0.5763], [0.0000, 0.0000, 0.0000]],
  "spacegroup": "No. 166",
  "formation_energy_ev_per_fu": -3.016,
  "energy_ev_per_atom": -5.4596
}

No. 11
{
  "formula": "CaYNi",
  "functional": "PBE-GGA",
  "state": "optimized geometry",
  "cell": [[4.8083, 0.0000, 0.0000], [2.4041, 4.1641, 0.0000], [2.4041, 1.3880, 3.9259]],
  "species": ["Y", "Ca", "Ni"],
  "fractional_positions": [[0.0000, 0.0000, 0.0000], [0.5000, 0.5000, 0.5000], [0.7500, 0.7500, 0.7500]],
  "spacegroup": "No. 216",
  "formation_energy_ev_per_fu": -0.078,
  "energy_ev_per_atom": -4.7750
}

No. 12
{
  "formula": "CaYNi2",
  "functional": "PBE-GGA",
  "state": "optimized geometry",
  "cell": [[3.9002, 0.0000, 0.0000], [0.0000, 3.9002, 0.0000], [0.0000, 0.0000, 5.7140]],
  "species": ["Ca", "Ni", "Ni", "Y"],
  "fractional_positions": [[0.5000, 0.5000, 0.8367], [0.0000, 0.0000, 0.9323], [0.5000, 0.5000, 0.3214], [0.0000, 0.0000, 0.4096]],
  "spacegroup": "No. 99",
  "formation_energy_ev_per_fu": 0.191,
  "energy_ev_per_atom": -4.9592
}

Number 8 is which compound? CaYNi2